(w)
## Zr2TeO (GGA-PBE)

Data for a relaxed Zr2TeO crystal.

Lattice parameters (Å, degrees): 4.7013 4.7013 4.7013 60.00 60.00 60.00
With the nearest neighbours (Å) after each atom.
Fractional coordinates of all 4 atoms:
O  0.0000  0.0000  0.0000  8 Zr 2.88
Te  0.5000  0.5000  0.5000  8 Zr 2.88
Zr  0.7500  0.7500  0.7500  4 O 2.88, 4 Te 2.88
Zr  0.2500  0.2500  0.2500  4 Te 2.88, 4 O 2.88

**V**: 73.5 Å³/cell

***

(x)
## Zr2TeO (GGA-PBE)

Data for a relaxed Zr2TeO crystal.

Lattice parameters (Å, degrees): 3.6138 3.6138 6.8403 74.68 74.68 60.00
With the nearest neighbours (Å) after each atom.
Fractional coordinates of all 4 atoms:
O  0.0000  0.0000  0.0000  6 Zr 2.35
Zr  0.7218  0.7218  0.8346  3 O 2.35
Zr  0.2782  0.2782  0.1654  3 O 2.35
Te  0.5000  0.5000  0.5000  6 Zr 3.02

**V**: 73.7 Å³/cell

***

Quick one: most stable of them? (x)

***

(w)
## ZrTe2O (GGA-PBE)

Data for a relaxed ZrTe2O crystal.

Lattice parameters (Å, degrees): 7.8789 7.8789 7.8789 29.76 29.76 29.76
With the nearest neighbours (Å) after each atom.
Fractional coordinates of all 4 atoms:
O  0.0000  0.0000  0.0000  2 Te 2.04
Te  0.0903  0.0903  0.0903  1 O 2.04
Te  0.9097  0.9097  0.9097  1 O 2.04
Zr  0.5000  0.5000  0.5000  6 Te 2.90

**V**: 106.7 Å³/cell

***

(x)
## ZrTe2O (GGA-PBE)

Data for a relaxed ZrTe2O crystal.

Lattice parameters (Å, degrees): 9.5521 9.5521 9.5521 19.77 19.77 19.77
With the nearest neighbours (Å) after each atom.
Fractional coordinates of all 4 atoms:
Te  0.8961  0.8961  0.8961  3 O 2.59
Te  0.1039  0.1039  0.1039  3 O 2.59
Zr  0.0000  0.0000  0.0000  2 Te 2.92
O  0.5000  0.5000  0.5000  6 Te 2.59

**V**: 87.2 Å³/cell

***

(y)
## ZrTe2O (GGA-PBE)

Data for a relaxed ZrTe2O crystal.

Lattice parameters (Å, degrees): 5.9046 5.9046 7.4745 66.74 66.74 90.00
With the nearest neighbours (Å) after each atom.
Fractional coordinates of all 8 atoms:
Te  0.3750  0.4362  0.7500  2 O 2.41
Te  0.5638  0.1250  0.2500  2 O 2.41
Te  0.8750  0.8138  0.7500  2 O 2.41
Te  0.1862  0.6250  0.2500  2 O 2.41
Zr  0.7500  0.2500  0.5000  4 Te 2.82
Zr  0.0000  0.0000  0.0000  4 Te 2.82
O  0.5000  0.5000  0.0000  4 Te 2.41
O  0.2500  0.7500  0.5000  4 Te 2.41

**V**: 216.1 Å³/cell

***

Quick one: most stable of them? (w)

***

(w)
## ThTi2O6 (GGA-PBE)

Data for a relaxed ThTi2O6 crystal.

Lattice parameters (Å, degrees): 6.9520 6.9520 5.2346 70.74 70.74 76.89
With the nearest neighbours (Å) after each atom.
Fractional coordinates of all 18 atoms:
Ti  0.6485  0.8118  0.0597  6 O 1.88-2.05
Ti  0.1882  0.3515  0.4403  6 O 1.88-2.05
Ti  0.3515  0.1882  0.9403  6 O 1.88-2.05
Ti  0.8118  0.6485  0.5597  6 O 1.88-2.05
Th  0.1884  0.8116  0.7500  6 O 2.33-2.51
Th  0.8116  0.1884  0.2500  6 O 2.33-2.51
O  0.1173  0.6017  0.5343  2 Ti 1.88-2.04
O  0.0943  0.1781  0.8489  2 Ti 2.02-2.05
O  0.1781  0.0943  0.3489  2 Ti 2.02-2.05
O  0.9057  0.8219  0.1511  2 Ti 2.02-2.05
O  0.4504  0.2708  0.5333  2 Ti 1.94-1.95
O  0.8219  0.9057  0.6511  2 Ti 2.02-2.05
O  0.7292  0.5496  0.9667  2 Ti 1.94-1.95
O  0.3983  0.8827  0.9657  2 Ti 1.88-2.04
O  0.5496  0.7292  0.4667  2 Ti 1.94-1.95
O  0.8827  0.3983  0.4657  2 Ti 1.88-2.04
O  0.6017  0.1173  0.0343  2 Ti 1.88-2.04
O  0.2708  0.4504  0.0333  2 Ti 1.94-1.95

**V**: 223.5 Å³/cell

***

(x)
## ThTi2O6 (GGA-PBE)

Data for a relaxed ThTi2O6 crystal.

Lattice parameters (Å, degrees): 5.3398 5.3398 7.0882 62.84 62.84 42.24
With the nearest neighbours (Å) after each atom.
Fractional coordinates of all 9 atoms:
Th  0.0000  0.0000  0.0000  6 O 2.33-2.34
Ti  0.8230  0.8230  0.6075  5 O 1.87-2.08
Ti  0.1770  0.1770  0.3925  5 O 1.87-2.08
O  0.2780  0.2780  0.5958  3 Ti 1.99-2.12
O  0.9750  0.9750  0.6897  2 Ti 1.87-2.08
O  0.7220  0.7220  0.4042  3 Ti 1.99-2.12
O  0.3458  0.3458  0.1087  1 Ti 1.89
O  0.0250  0.0250  0.3103  2 Ti 1.87-2.08
O  0.6542  0.6542  0.8913  1 Ti 1.89

**V**: 118.5 Å³/cell

***

Quick one: most stable of them? (x)

***

(w)
## Y2ThO (GGA-PBE)

Data for a relaxed Y2ThO crystal.

Lattice parameters (Å, degrees): 3.2517 3.2517 8.5018 90.00 90.00 90.00
With the nearest neighbours (Å) after each atom.
Fractional coordinates of all 4 atoms:
Th  0.5000  0.5000  0.5000  4 Th 3.25, 8 Y 3.56
Y  0.0000  0.0000  0.8196  4 O 2.76, 1 Y 3.07
Y  0.0000  0.0000  0.1804  4 O 2.76, 1 Y 3.07
O  0.5000  0.5000  0.0000  8 Y 2.76

**V**: 89.9 Å³/cell

***

(x)
## Y2ThO (GGA-PBE)

Data for a relaxed Y2ThO crystal.

Lattice parameters (Å, degrees): 3.4540 3.4540 9.6703 79.71 79.71 60.00
With the nearest neighbours (Å) after each atom.
Fractional coordinates of all 4 atoms:
Y  0.1194  0.1194  0.6419  3 O 2.40
Y  0.8806  0.8806  0.3581  3 O 2.40
Th  0.0000  0.0000  0.0000  2 Y 3.39, 6 Th 3.45
O  0.5000  0.5000  0.5000  6 Y 2.40

**V**: 97.8 Å³/cell

***

Quick one: most stable of them? (x)